[1]
The following is a DFT calculation (PBE) of crystalline Na2DyInS4 at its relaxed geometry.

Results
Energy relative to the elements, uncorrected in eV/atom: -1.335
Space-group type: P2/m (10)

Unit cell a=3.913 b=6.780 c=7.113 alpha=108.87 beta=90.00 gamma=90.00
Fractional positions:
S: 0.500 0.231 0.221
S: 0.000 0.255 0.771
S: 0.500 0.769 0.779
S: 0.000 0.745 0.229
Na: 0.500 0.000 0.500
Na: 0.000 0.500 0.500
Dy: 0.500 0.500 0.000
In: 0.000 0.000 0.000

[2]
The following is a DFT calculation (PBE) of crystalline SrCeTlI6 at its relaxed geometry.

Results
Energy relative to the elements, uncorrected in eV/atom: -1.311
Space-group type: P-31c (163)

Unit cell a=8.300 b=8.300 c=15.207 alpha=90.00 beta=90.00 gamma=120.00
Last column: magnetic moment on the atom in μB.
Fractional positions:
I: 0.987 0.634 0.370  -0.01
I: 0.987 0.353 0.130  -0.01
I: 0.353 0.987 0.630  -0.01
I: 0.013 0.366 0.630  -0.01
I: 0.634 0.647 0.630  -0.01
I: 0.366 0.353 0.370  -0.01
I: 0.366 0.013 0.130  -0.01
I: 0.647 0.634 0.130  -0.01
I: 0.647 0.013 0.370  -0.01
I: 0.634 0.987 0.870  -0.01
I: 0.353 0.366 0.870  -0.01
I: 0.013 0.647 0.870  -0.01
Sr: 0.667 0.333 0.750  0.00
Sr: 0.333 0.667 0.250  0.00
Ce: 0.667 0.333 0.250  0.99
Ce: 0.333 0.667 0.750  0.99
Tl: 0.000 0.000 0.500  0.00
Tl: 0.000 0.000 0.000  0.00